Density functional theory data (PBE with a Hubbard U) for a relaxed FeN2F8 crystal.

Computed properties:
theoretical density: 2.1 g/cm3
energy: -94.6 eV/cell

Cell lengths 6.750, 6.750, 13.271 Å; angles 111.12, 111.12, 41.79 degrees
Fractional positions:
1 Fe 0.044 0.956 0.750
2 Fe 0.956 0.044 0.250
3 N 0.111 0.662 0.428
4 N 0.338 0.889 0.072
5 N 0.662 0.111 0.928
6 N 0.889 0.338 0.572
7 F 0.053 0.706 0.249
8 F 0.145 0.264 0.586
9 F 0.208 0.693 0.626
10 F 0.264 0.145 0.086
11 F 0.294 0.947 0.251
12 F 0.307 0.792 0.874
13 F 0.325 0.360 0.415
14 F 0.360 0.325 0.915
15 F 0.640 0.675 0.085
16 F 0.675 0.640 0.585
17 F 0.693 0.208 0.126
18 F 0.706 0.053 0.749
19 F 0.736 0.855 0.914
20 F 0.792 0.307 0.374
21 F 0.855 0.736 0.414
22 F 0.947 0.294 0.751